Here is a geometry-optimized Cu2Ag3 structure from the Open Quantum Materials Database. Energies are from GGA-PBE.

Its density is 9.5 g/cm3. Its energy above the most stable polymorph in this dataset is 0.0603 eV/atom. The value obtained for the total energy is -92.66 eV per cell. The formation energy comes out at 8.9 kJ per mole of atoms.

Cell lengths 2.8545, 2.8545, 66.6840 Å; angles 90.00, 90.00, 120.00 degrees
Closest atoms and distances in Å follow each position.
Space group R-3m (No. 166, hexagonal axes)
Inequivalent atoms, fractional coordinates:
Cu (0.0000, 0.0000, 0.0504) (multiplicity 6)  6 Ag 2.71, 6 Cu 2.85
Cu (0.0000, 0.0000, 0.1525) (multiplicity 6)  3 Cu 2.51, 3 Ag 2.74
Ag (0.0000, 0.0000, 0.2506) (multiplicity 6)  3 Cu 2.71, 9 Ag 2.85-2.97
Ag (0.0000, 0.0000, 0.3516) (multiplicity 6)  3 Cu 2.71, 9 Ag 2.85-2.94
Ag (0.0000, 0.0000, 0.4530) (multiplicity 6)  3 Cu 2.74, 9 Ag 2.85-2.97